# BaBe2Se | the Alexandria database | PBE | relaxed
data_BaBe2Se
_cell_length_a 4.426
_cell_length_b 4.426
_cell_length_c 5.034
_cell_angle_alpha 90.00
_cell_angle_beta 90.00
_cell_angle_gamma 90.00
_space_group_name_H-M_alt 'P 4/m m m'
_space_group_IT_number 123
_space_group_name_Hall '-P 4 2'
loop_
_atom_site_label
_atom_site_type_symbol
_atom_site_fract_x
_atom_site_fract_y
_atom_site_fract_z
Ba1 Ba 0.000 0.000 0.000
Be1 Be 0.000 0.500 0.500
Se1 Se 0.500 0.500 0.000
# - total magnetization (μB per formula unit) = 0.00
# - raw formation energy (meV/atom) = 412
# - Fermi-level density of states (states/eV/f.u.) = 2.03
# - calculated volume (A^3/atom) = 24.65



# Ba2BeSe | the Alexandria database | PBE | relaxed
data_Ba2BeSe
_cell_length_a 8.000
_cell_length_b 8.000
_cell_length_c 8.000
_cell_angle_alpha 90.00
_cell_angle_beta 90.00
_cell_angle_gamma 90.00
_space_group_name_H-M_alt 'F m -3 m'
_space_group_IT_number 225
_space_group_name_Hall '-F 4 2 3'
loop_
_atom_site_label
_atom_site_type_symbol
_atom_site_fract_x
_atom_site_fract_y
_atom_site_fract_z
Ba1 Ba 0.250 0.250 0.250
Be1 Be 0.000 0.000 0.000
Se1 Se 0.000 0.000 0.500
# - excess energy over the best structure of this formula in the dataset (eV/atom) = 0.1796
# - total magnetization (μB per formula unit) = 0.00
# - raw formation energy (meV/atom) = -377
# - Fermi-level density of states (states/eV/f.u.) = 5.06
# - calculated volume (A^3/atom) = 32.00